Arrangement A

4
Lattice="-0.838 -3.805 -0.108 2.056 -2.384 -2.298 4.736 -3.158 4.207" Properties=species:S:1:pos:R:3 comment="ThZrP2 (PBE, optimized geometry)" magnetic_moment_mub_per_fu=0.00 pbc="T T T"
Th 5.475 -7.265 2.518
Zr 3.052 -4.693 0.987
P 3.550 -2.858 2.835
P 1.592 -2.363 0.570



Arrangement B

4
Lattice="-1.998 2.483 2.336 -3.348 -1.182 1.735 1.565 -1.628 6.412" Properties=species:S:1:pos:R:3 comment="ThZrP2 (PBE, optimized geometry)" magnetic_moment_mub_per_fu=0.00 pbc="T T T"
P -1.026 -0.032 2.499
P -2.755 -0.295 7.984
Zr 0.000 0.000 0.000
Th -1.891 -0.163 5.241



Energy above the most stable structure, in eV/atom: arrangement A 0.104; arrangement B 0.000



Arrangement A

4
Lattice="0.000 3.260 3.260 3.260 0.000 3.260 3.260 3.260 0.000" Properties=species:S:1:pos:R:3 comment="Ti2TlP (PBE, optimized geometry)" magnetic_moment_mub_per_fu=0.00 pbc="T T T"
P 0.000 0.000 0.000
Tl 3.260 3.260 3.260
Ti 1.630 1.630 1.630
Ti 4.890 4.890 4.890



Arrangement B

8
Lattice="7.096 0.000 0.000 0.000 7.096 0.000 3.548 3.548 2.969" Properties=species:S:1:pos:R:3 comment="Ti2TlP (PBE, optimized geometry)" magnetic_moment_mub_per_fu=0.00 pbc="T T T"
P 3.548 3.548 0.000
P 3.548 7.096 1.485
Tl 0.000 0.000 0.000
Tl 7.096 3.548 1.485
Ti 5.033 1.774 0.742
Ti 2.063 5.322 0.742
Ti 5.322 5.611 2.227
Ti 8.870 8.581 2.227



Energy above the most stable structure, in eV/atom: arrangement A 0.195; arrangement B 0.000



Arrangement A

5
Lattice="-0.517 -2.779 -4.206 -1.167 -4.048 2.817 -4.904 1.256 -0.227" Properties=species:S:1:pos:R:3 comment="Ti3TlP (PBE, optimized geometry)" magnetic_moment_mub_per_fu=4.00 pbc="T T T"
P -3.294 -2.785 -0.808
Tl 0.000 0.000 0.000
Ti -0.583 -2.024 1.409
Ti -2.452 0.628 -0.113
Ti -0.258 -1.389 -2.103



Arrangement B

5
Lattice="-1.065 2.983 3.312 -3.347 -2.783 1.431 2.943 -2.087 2.825" Properties=species:S:1:pos:R:3 comment="Ti3TlP (PBE, optimized geometry)" magnetic_moment_mub_per_fu=0.00 pbc="T T T"
P 0.000 0.000 0.000
Tl -0.734 -0.944 3.784
Ti -1.674 -1.392 0.715
Ti 1.471 -1.043 1.413
Ti -0.532 1.491 1.656



Energy above the most stable structure, in eV/atom: arrangement A 1.614; arrangement B 0.000



Arrangement A

5
Lattice="-2.672 4.017 -1.228 -4.134 -2.773 -0.077 -0.746 0.979 4.824" Properties=species:S:1:pos:R:3 comment="TiTlP3 (PBE, optimized geometry)" magnetic_moment_mub_per_fu=0.00 pbc="T T T"
P -2.067 -1.387 -0.038
P -0.373 0.489 2.412
P -1.336 2.009 -0.614
Tl 0.000 0.000 0.000
Ti -3.776 1.111 1.760



Arrangement B

5
Lattice="-4.015 -0.552 2.536 2.081 -3.477 2.537 1.551 3.234 3.160" Properties=species:S:1:pos:R:3 comment="TiTlP3 (PBE, optimized geometry)" magnetic_moment_mub_per_fu=0.00 pbc="T T T"
P 1.040 -1.738 1.269
P 0.776 1.617 1.580
P -2.007 -0.276 1.268
Tl -0.192 -0.397 4.116
Ti 0.000 0.000 0.000



Energy above the most stable structure, in eV/atom: arrangement A 1.394; arrangement B 0.000



Arrangement A

4
Lattice="4.232 -1.923 1.971 1.924 1.952 4.241 -0.189 -2.633 4.304" Properties=species:S:1:pos:R:3 comment="TiTl2P (PBE, optimized geometry)" magnetic_moment_mub_per_fu=2.44 pbc="T T T"
P 0.000 0.000 0.000
Tl 1.492 -0.651 2.629
Tl 4.475 -1.954 7.886
Ti 2.983 -1.302 5.258



Arrangement B

8
Lattice="8.040 0.000 0.000 0.000 8.040 0.000 4.020 4.020 2.858" Properties=species:S:1:pos:R:3 comment="TiTl2P (PBE, optimized geometry)" magnetic_moment_mub_per_fu=1.46 pbc="T T T"
P 4.020 4.020 0.000
P 4.020 8.040 1.429
Tl 5.845 2.010 0.714
Tl 2.195 6.030 0.714
Tl 6.030 6.215 2.143
Tl 10.050 9.866 2.143
Ti 0.000 0.000 0.000
Ti 8.040 4.020 1.429



Energy above the most stable structure, in eV/atom: arrangement A 0.170; arrangement B 0.000



Arrangement A

8
Lattice="5.989 0.000 0.000 0.000 5.989 0.000 2.994 2.994 5.747" Properties=species:S:1:pos:R:3 comment="TiTlP2 (PBE, optimized geometry)" magnetic_moment_mub_per_fu=0.00 pbc="T T T"
P 4.187 1.497 1.437
P 1.802 4.492 1.437
P 4.492 4.796 4.310
P 7.486 7.181 4.310
Tl 0.000 0.000 0.000
Tl 5.989 2.994 2.874
Ti 2.994 2.994 0.000
Ti 2.994 5.989 2.874



Arrangement B

4
Lattice="-0.657 -3.675 -2.858 -4.240 -0.798 -1.867 -0.713 0.693 -4.595" Properties=species:S:1:pos:R:3 comment="TiTlP2 (PBE, optimized geometry)" magnetic_moment_mub_per_fu=0.00 pbc="T T T"
P -1.403 -0.945 -2.330
P -4.208 -2.835 -6.990
Tl -2.805 -1.890 -4.660
Ti 0.000 0.000 0.000



Energy above the most stable structure, in eV/atom: arrangement A 0.000; arrangement B 0.384